! TaNbAl6 PBE relaxed; values from VASP
! **E_form**: -0.3822 eV per atom
! **Space group**: P4/mmm, No. 123
&SYSTEM
  ibrav = 0, nat = 8, ntyp = 3
/
ATOMIC_SPECIES
Ta 180.95 Ta.upf
Nb 92.91 Nb.upf
Al 26.98 Al.upf
CELL_PARAMETERS angstrom
-3.099 0.806 -2.144
-2.266 -1.601 2.674
-0.740 7.613 3.933
ATOMIC_POSITIONS crystal
Ta 0.500 0.500 0.500
Nb 0.000 0.000 0.000
Al 0.500 0.500 0.000
Al 0.000 0.000 0.500
Al 0.000 0.500 0.251
Al 0.500 0.000 0.749
Al 0.500 0.000 0.251
Al 0.000 0.500 0.749

***

! Li2CaTa2O7 PBE relaxed; values from VASP
! **Energy relative to the lowest polymorph listed for this composition**: 0 meV per atom
! **Raw formation energy**: -2.80 eV/atom
! **Space group**: Pnma, No. 62
&SYSTEM
  ibrav = 0, nat = 48, ntyp = 4
/
ATOMIC_SPECIES
Li 6.94 Li.upf
Ca 40.08 Ca.upf
Ta 180.95 Ta.upf
O 16.00 O.upf
CELL_PARAMETERS angstrom
-2.465 -1.759 4.594
-1.943 -4.446 -2.745
15.178 -9.432 4.531
ATOMIC_POSITIONS crystal
Li 0.748 0.491 0.987
Li 0.252 0.509 0.487
Li 0.248 0.009 0.487
Li 0.752 0.991 0.987
Li 0.252 0.509 0.013
Li 0.748 0.491 0.513
Li 0.752 0.991 0.513
Li 0.248 0.009 0.013
Ca 0.999 0.205 0.250
Ca 0.001 0.795 0.750
Ca 0.499 0.295 0.750
Ca 0.501 0.705 0.250
Ta 0.499 0.760 0.638
Ta 0.501 0.240 0.138
Ta 0.999 0.740 0.138
Ta 0.001 0.260 0.638
Ta 0.501 0.240 0.362
Ta 0.499 0.760 0.862
Ta 0.001 0.260 0.862
Ta 0.999 0.740 0.362
O 0.079 0.772 0.250
O 0.921 0.228 0.750
O 0.579 0.728 0.750
O 0.421 0.272 0.250
O 0.049 0.256 0.963
O 0.951 0.744 0.463
O 0.549 0.244 0.463
O 0.451 0.756 0.963
O 0.951 0.744 0.037
O 0.049 0.256 0.537
O 0.451 0.756 0.537
O 0.549 0.244 0.037
O 0.210 0.040 0.368
O 0.790 0.960 0.868
O 0.710 0.460 0.868
O 0.290 0.540 0.368
O 0.790 0.960 0.632
O 0.210 0.040 0.132
O 0.290 0.540 0.132
O 0.710 0.460 0.632
O 0.219 0.529 0.665
O 0.781 0.471 0.165
O 0.719 0.971 0.165
O 0.281 0.029 0.665
O 0.781 0.471 0.335
O 0.219 0.529 0.835
O 0.281 0.029 0.835
O 0.719 0.971 0.335

***

! Na2PdPbS PBE relaxed; values from VASP
! **Raw formation energy**: -0.27 eV/atom
! **Space group**: P4/mmm, No. 123
&SYSTEM
  ibrav = 0, nat = 5, ntyp = 4
/
ATOMIC_SPECIES
Pb 207.20 Pb.upf
Na 22.99 Na.upf
S 32.06 S.upf
Pd 106.42 Pd.upf
CELL_PARAMETERS angstrom
5.167 0.000 0.000
0.000 4.647 0.000
0.000 0.000 5.167
ATOMIC_POSITIONS crystal
Pb 0.500 0.500 0.500
Na 0.000 0.000 0.500
Na 0.500 0.000 0.000
S 0.000 0.000 0.000
Pd 0.000 0.500 0.000

***

! NaInTe2 PBE relaxed; values from VASP
! **Raw formation energy**: -0.37 eV/atom
! **Space group**: Pnma, No. 62
&SYSTEM
  ibrav = 0, nat = 16, ntyp = 3
/
ATOMIC_SPECIES
Na 22.99 Na.upf
Te 127.60 Te.upf
In 114.82 In.upf
CELL_PARAMETERS angstrom
7.900 0.000 0.000
0.000 3.957 0.000
0.000 0.000 16.545
ATOMIC_POSITIONS crystal
Na 0.106 0.250 0.598
Na 0.394 0.750 0.098
Na 0.894 0.750 0.402
Na 0.606 0.250 0.902
Te 0.729 0.250 0.535
Te 0.771 0.750 0.035
Te 0.271 0.750 0.465
Te 0.229 0.250 0.965
Te 0.405 0.250 0.727
Te 0.095 0.750 0.227
Te 0.595 0.750 0.273
Te 0.905 0.250 0.773
In 0.325 0.250 0.336
In 0.175 0.750 0.836
In 0.675 0.750 0.664
In 0.825 0.250 0.164

***

! HRu3 PBE relaxed; values from VASP
! **Space group**: Imm2, No. 44
&SYSTEM
  ibrav = 0, nat = 4, ntyp = 2
/
ATOMIC_SPECIES
Ru 101.07 Ru.upf
H 1.01 H.upf
CELL_PARAMETERS angstrom
-1.019 1.341 2.126
-4.139 -0.407 -1.726
2.139 -3.667 1.608
ATOMIC_POSITIONS crystal
Ru 0.308 0.725 0.616
Ru 0.500 0.417 0.000
Ru 0.692 0.109 0.384
H 0.000 0.916 0.000

***

! La6GaIr3 PBE relaxed; values from VASP
! **E_form**: -0.6343 eV per atom
! **Space group**: P2_1/m, No. 11
&SYSTEM
  ibrav = 0, nat = 20, ntyp = 3
/
ATOMIC_SPECIES
La 138.91 La.upf
Ga 69.72 Ga.upf
Ir 192.22 Ir.upf
CELL_PARAMETERS angstrom
4.252 0.000 0.000
0.000 11.517 -3.688
0.000 -0.196 12.411
ATOMIC_POSITIONS crystal
La 0.750 0.464 0.607
La 0.250 0.536 0.393
La 0.750 0.923 0.089
La 0.250 0.077 0.911
La 0.750 0.395 0.057
La 0.250 0.605 0.943
La 0.750 0.719 0.262
La 0.250 0.281 0.738
La 0.750 0.130 0.464
La 0.250 0.870 0.536
La 0.750 0.792 0.758
La 0.250 0.208 0.242
Ga 0.750 0.049 0.699
Ga 0.250 0.951 0.301
Ir 0.750 0.446 0.835
Ir 0.250 0.554 0.165
Ir 0.750 0.690 0.497
Ir 0.250 0.310 0.503
Ir 0.750 0.159 0.083
Ir 0.250 0.841 0.917

***

! V2GeB PBE relaxed; values from VASP
! **E_form**: 0.2936 eV per atom
! **Energy relative to the lowest polymorph listed for this composition**: 583 meV per atom
! **Space group**: Fm-3m, No. 225
&SYSTEM
  ibrav = 0, nat = 4, ntyp = 3
/
ATOMIC_SPECIES
Ge 72.64 Ge.upf
B 10.81 B.upf
V 50.94 V.upf
CELL_PARAMETERS angstrom
0.000 2.883 2.883
2.883 0.000 2.883
2.883 2.883 0.000
ATOMIC_POSITIONS crystal
Ge 0.500 0.500 0.500
B 0.000 0.000 0.000
V 0.250 0.250 0.250
V 0.750 0.750 0.750

***

! TiNb3Pd PBE relaxed; values from VASP
! **E_form**: 1.2812 eV per atom
! **Energy relative to the lowest polymorph listed for this composition**: 1247 meV per atom
! **Space group**: Pm-3m, No. 221
&SYSTEM
  ibrav = 0, nat = 5, ntyp = 3
/
ATOMIC_SPECIES
Nb 92.91 Nb.upf
Pd 106.42 Pd.upf
Ti 47.87 Ti.upf
CELL_PARAMETERS angstrom
4.843 0.000 0.000
0.000 4.843 0.000
0.000 0.000 4.843
ATOMIC_POSITIONS crystal
Nb 0.000 0.500 0.000
Nb 0.000 0.000 0.500
Nb 0.500 0.000 0.000
Pd 0.000 0.000 0.000
Ti 0.500 0.500 0.500

***

! TaCu2Pb PBE relaxed; values from VASP
! **E_form**: 0.3539 eV per atom
! **Space group**: P4/mmm, No. 123
&SYSTEM
  ibrav = 0, nat = 4, ntyp = 3
/
ATOMIC_SPECIES
Cu 63.55 Cu.upf
Pb 207.20 Pb.upf
Ta 180.95 Ta.upf
CELL_PARAMETERS angstrom
-3.739 -1.205 -1.218
1.505 -3.707 -0.953
-0.786 -1.261 3.661
ATOMIC_POSITIONS crystal
Cu 0.000 0.000 0.000
Cu 0.500 0.500 0.000
Pb 0.500 0.000 0.500
Ta 0.000 0.500 0.500

***

! U2BiTe PBE relaxed; values from VASP
! **Energy relative to the lowest polymorph listed for this composition**: 38 meV per atom
! **Raw formation energy**: -0.13 eV/atom
! **Space group**: R-3m, No. 166
&SYSTEM
  ibrav = 0, nat = 4, ntyp = 3
/
ATOMIC_SPECIES
Te 127.60 Te.upf
U 238.03 U.upf
Bi 208.98 Bi.upf
CELL_PARAMETERS angstrom
4.601 0.000 0.000
2.300 3.984 0.000
2.300 1.328 6.669
ATOMIC_POSITIONS crystal
Te 0.500 0.500 0.500
U 0.753 0.753 0.740
U 0.247 0.247 0.260
Bi 0.000 0.000 0.000

***

! Ce2MnSi4Ir3 PBE relaxed; values from VASP
! **Raw formation energy**: -0.92 eV/atom
! **Space group**: P-4m2, No. 115
&SYSTEM
  ibrav = 0, nat = 10, ntyp = 4
/
ATOMIC_SPECIES
Ce 140.12 Ce.upf
Mn 54.94 Mn.upf
Si 28.09 Si.upf
Ir 192.22 Ir.upf
CELL_PARAMETERS angstrom
-3.899 -1.191 -0.626
-0.514 -0.453 4.067
-3.033 9.565 0.682
ATOMIC_POSITIONS crystal
Ce 0.500 0.000 0.246
Ce 0.000 0.500 0.754
Mn 0.500 0.500 0.500
Si 0.500 0.500 0.000
Si 0.000 0.000 0.000
Si 0.500 0.000 0.632
Si 0.000 0.500 0.368
Ir 0.000 0.000 0.500
Ir 0.500 0.000 0.873
Ir 0.000 0.500 0.127

***

! LiCeHfOs PBE relaxed; values from VASP
! **E_form**: -0.1185 eV per atom
! **Space group**: F-43m, No. 216
&SYSTEM
  ibrav = 0, nat = 4, ntyp = 4
/
ATOMIC_SPECIES
Hf 178.49 Hf.upf
Os 190.23 Os.upf
Ce 140.12 Ce.upf
Li 6.94 Li.upf
CELL_PARAMETERS angstrom
-0.832 -4.681 0.589
0.874 -2.075 4.229
-3.641 -1.459 2.751
ATOMIC_POSITIONS crystal
Hf 0.250 0.250 0.250
Os 0.500 0.500 0.500
Ce 0.750 0.750 0.750
Li 0.000 0.000 0.000

***

| no. | electronic total energy (eV per atom) |
| --- | --- |
| 1 | -5.93 |
| 2 | -8.16 |
| 3 | -3.40 |
| 4 | -2.96 |
| 5 | -7.53 |
| 6 | -6.55 |
| 7 | -7.09 |
| 8 | -7.38 |
| 9 | -5.58 |
| 10 | -7.53 |
| 11 | -7.85 |
| 12 | -7.38 |